1.
BeReIr3 | PBE-GGA | optimized geometry

Geometry as POSCAR:
```
BeReIr3
1.0
4.107 0.000 0.000
0.000 4.107 0.000
0.000 0.000 4.107
Be Re Ir
1 1 3
direct
0.000 0.000 0.000 Be
0.500 0.500 0.500 Re
0.000 0.000 0.500 Ir
0.000 0.500 0.000 Ir
0.500 0.000 0.000 Ir
```

Results
Relative energy among the computed polymorphs = 0.000 eV per atom

=====

2.
Nd3YC8 | PBE-GGA | optimized geometry

Geometry as POSCAR:
```
Nd3YC8
1.0
-3.636 3.636 3.845
3.636 -3.636 3.845
3.636 3.636 -3.845
Nd Y C
3 1 8
direct
0.000 0.000 0.000 Nd
0.250 0.750 0.500 Nd
0.750 0.250 0.500 Nd
0.500 0.500 0.000 Y
0.106 0.106 0.469 C
0.118 0.118 0.678 C
0.363 0.894 0.000 C
0.439 0.439 0.322 C
0.561 0.882 0.000 C
0.637 0.637 0.531 C
0.882 0.561 0.000 C
0.894 0.363 0.000 C
```

=====

3.
BaCa3Hg2 | PBE-GGA | optimized geometry

Geometry as POSCAR:
```
BaCa3Hg2
1.0
9.815 -2.068 0.000
9.815 2.068 0.000
-3.359 0.000 10.886
Ba Ca Hg
2 6 4
direct
0.114 0.114 0.137 Ba
0.886 0.886 0.863 Ba
0.039 0.039 0.667 Ca
0.312 0.312 0.134 Ca
0.343 0.343 0.518 Ca
0.657 0.657 0.482 Ca
0.688 0.688 0.866 Ca
0.961 0.961 0.333 Ca
0.234 0.234 0.693 Hg
0.469 0.469 0.127 Hg
0.531 0.531 0.873 Hg
0.766 0.766 0.307 Hg
```

=====

| no. | theoretical density (Mg/m³) | DFT formation energy (eV/atom) | N(E_F) (states/eV/cell) |
| --- | --- | --- | --- |
| 1 | 18.5 | 0.535 | 6.34 |
| 2 | 5.0 | 0.154 | 2.97 |
| 3 | 5.0 | -0.339 | 12.14 |